a | # Ta5N6, relaxed, DFT PBE-GGA
data_Ta5N6
_cell_length_a 5.2198
_cell_length_b 5.2198
_cell_length_c 10.4563
_cell_angle_alpha 90.00
_cell_angle_beta 90.00
_cell_angle_gamma 120.00
_space_group_name_H-M_alt 'P 63/m c m'
_space_group_IT_number 193
_space_group_name_Hall '-P 6c 2'
loop_
_atom_site_label
_atom_site_type_symbol
_atom_site_fract_x
_atom_site_fract_y
_atom_site_fract_z
Ta1 Ta 0.0000 0.3239 0.2500
Ta2 Ta 0.3333 0.6667 0.0000
N1 N 0.0000 0.3396 0.6220
# Size of the total moment: 0.00 μB per cell

---

b | # Ta5N6, relaxed, DFT PBE-GGA
data_Ta5N6
_cell_length_a 6.5647
_cell_length_b 6.5647
_cell_length_c 6.5362
_cell_angle_alpha 90.00
_cell_angle_beta 90.00
_cell_angle_gamma 120.00
_space_group_name_H-M_alt 'P 63/m c m'
_space_group_IT_number 193
_space_group_name_Hall '-P 6c 2'
loop_
_atom_site_label
_atom_site_type_symbol
_atom_site_fract_x
_atom_site_fract_y
_atom_site_fract_z
Ta1 Ta 0.0000 0.2406 0.2500
Ta2 Ta 0.3333 0.6667 0.0000
N1 N 0.0000 0.3298 0.5697
# Size of the total moment: 0.00 μB per cell

---

On energetic grounds, a is preferred over the next structure by 0.847 eV/atom.